An optimized crystal structure of NaLiCaH2. Source: the Alexandria database, functional GGA-PBE.

Lattice parameters (Å, degrees): 4.3013 4.3013 4.7907 90.00 90.00 90.00
Fractional coordinates of all 5 atoms:
Na (0.0000, 0.0000, 0.0000)
Li (0.0000, 0.0000, 0.5000)
Ca (0.5000, 0.5000, 0.0000)
H (0.0000, 0.5000, 0.5000)
H (0.5000, 0.0000, 0.5000)

Results
Final energy = -0.077 hartree per atom